No. 1
First-principles (PBE) data for a geometry-optimized KLa2TbMg3In2 structure, as listed in OQMD.

Computed properties:
E_tot (eV per atom): -2.918

Geometry as extended XYZ:
```
9
Lattice="4.8496 0.0000 0.0000 0.0000 7.1241 4.0240 0.0000 -7.1241 4.0240" Properties=species:S:1:pos:R:3 pbc="T T T"
In 2.4248 2.1191 3.7886
In 2.4248 -2.1191 3.7886
K 0.0000 0.0000 0.5338
La 0.0000 2.9643 6.2784
La 0.0000 -2.9643 6.2784
Mg 2.4248 4.9102 4.8054
Mg 2.4248 0.0000 6.1016
Mg 2.4248 -4.9102 4.8054
Tb 0.0000 0.0000 3.8601
```


No. 2
First-principles (PBE) data for a geometry-optimized TmAuSO structure, as listed in OQMD.

Computed properties:
Distance to the lowest polymorph of the same formula (meV/atom): 0
E_tot (eV per atom): -6.197

Geometry as extended XYZ:
```
16
Lattice="5.5575 0.0000 0.0266 0.0000 5.5520 0.0000 -0.3536 0.0000 10.6319" Properties=species:S:1:pos:R:3 pbc="T T T"
Au 5.4471 1.8890 2.9909
Au 3.6033 3.2941 5.3043
Au 1.6005 0.5182 5.3542
Au -0.2433 4.6649 7.6676
O 4.1601 0.3950 0.0231
O 1.3807 0.3938 0.0208
O 3.8232 3.1698 10.6377
O 1.0437 3.1710 10.6354
S 3.7794 3.5180 3.0065
S 1.5446 0.2607 3.0537
S 3.6592 3.0367 7.6048
S 1.4244 0.7420 7.6520
Tm -0.0089 4.5611 1.0397
Tm 2.7703 1.7890 1.0556
Tm 2.4336 4.5650 9.6029
Tm 5.2127 1.7851 9.6188
```


No. 3
First-principles (PBE) data for a geometry-optimized GaCuOsPd structure, as listed in OQMD.

Computed properties:
Distance to the lowest polymorph of the same formula (meV/atom): 0
E_tot (eV per atom): -5.603

Geometry as extended XYZ:
```
4
Lattice="0.0000 3.0547 3.0547 3.0547 0.0000 3.0547 3.0547 3.0547 0.0000" Properties=species:S:1:pos:R:3 pbc="T T T"
Cu 4.5821 4.5821 4.5821
Ga 0.0000 0.0000 0.0000
Os 1.5274 1.5274 1.5274
Pd 3.0547 3.0547 3.0547
```


No. 4
First-principles (PBE) data for a geometry-optimized Lu2ZrSb structure, as listed in OQMD.

Computed properties:
E_tot (eV per atom): -5.564

Geometry as extended XYZ:
```
4
Lattice="0.5206 -0.1875 5.1339 -2.4665 3.4272 2.9721 -3.9630 -1.5147 2.9433" Properties=species:S:1:pos:R:3 pbc="T T T"
Lu 0.0000 0.0000 0.0000
Lu -4.4317 1.2937 8.2869
Sb -2.9545 0.8625 5.5246
Zr -1.4772 0.4312 2.7623
```


Question: E_tot of number 2 (TmAuSO)?
Answer: -6.197 eV per atom


Question: Among the records above, which one has the highest E_tot?
Answer: KLa2TbMg3In2


Copy entry 2 word for word.
First-principles (PBE) data for a geometry-optimized TmAuSO structure, as listed in OQMD.

Computed properties:
Distance to the lowest polymorph of the same formula (meV/atom): 0
E_tot (eV per atom): -6.197

Geometry as extended XYZ:
```
16
Lattice="5.5575 0.0000 0.0266 0.0000 5.5520 0.0000 -0.3536 0.0000 10.6319" Properties=species:S:1:pos:R:3 pbc="T T T"
Au 5.4471 1.8890 2.9909
Au 3.6033 3.2941 5.3043
Au 1.6005 0.5182 5.3542
Au -0.2433 4.6649 7.6676
O 4.1601 0.3950 0.0231
O 1.3807 0.3938 0.0208
O 3.8232 3.1698 10.6377
O 1.0437 3.1710 10.6354
S 3.7794 3.5180 3.0065
S 1.5446 0.2607 3.0537
S 3.6592 3.0367 7.6048
S 1.4244 0.7420 7.6520
Tm -0.0089 4.5611 1.0397
Tm 2.7703 1.7890 1.0556
Tm 2.4336 4.5650 9.6029
Tm 5.2127 1.7851 9.6188
```


Question: Which formula does entry 4 have?
Answer: Lu2ZrSb